Tl3CrSb2Se6: optimized geometry, PBE.

Structure (extended XYZ):
```
12
Lattice="3.5345 -6.1026 0.0000 3.5345 6.1026 0.0000 -2.3329 0.0000 7.6311" Properties=species:S:1:pos:R:3 pbc="T T T"
Tl 0.0000 0.0000 0.0000
Tl 3.5345 2.1363 0.0000
Tl 3.5345 -2.1363 0.0000
Cr 2.3680 0.0000 3.8155
Sb 2.3680 4.0708 3.8155
Sb 2.3680 -4.0708 3.8155
Se 1.3046 1.8413 2.3283
Se 0.2445 0.0000 5.3593
Se 1.3046 -1.8413 2.3283
Se 3.4314 1.8413 5.3028
Se 4.4915 0.0000 2.2718
Se 3.4314 -1.8413 5.3028
```

Calculated values
**SG**: No. 12
**Total magnetic moment**: 3.0 μB per cell
**E_tot**: -4.2070 eV per atom
**Energy relative to the elements, uncorrected**: -0.384 eV per atom